Record 1
First-principles (PBE-GGA) data for a relaxed structure of ReSbAsO, as listed in OQMD via LeMat-Bulk.

Computed properties:
As for the calculated volume: 18.6 Å³ per atom. The space group is P4/nmm (129). The value obtained for the calculated total energy is -48.1 eV per cell.

Cell lengths 4.096, 4.096, 8.856 Å; angles 90.00, 90.00, 90.00 degrees
Fractional positions:
Re  0.250  0.250  0.062
Re  0.750  0.750  0.938
Sb  0.250  0.750  0.500
Sb  0.750  0.250  0.500
As  0.250  0.250  0.778
As  0.750  0.750  0.222
O  0.250  0.750  0.000
O  0.750  0.250  0.000

***

Record 2
First-principles (PBE-GGA) data for a relaxed structure of ScReAsO, as listed in OQMD via LeMat-Bulk.

Computed properties:
As for the calculated volume: 14.3 Å³ per atom. The space group is P4/nmm (129). The value obtained for the calculated total energy is -57.5 eV per cell.

Cell lengths 4.214, 4.214, 6.452 Å; angles 90.00, 90.00, 90.00 degrees
Fractional positions:
Sc  0.250  0.750  0.000
Sc  0.750  0.250  0.000
Re  0.250  0.250  0.347
Re  0.750  0.750  0.653
As  0.250  0.250  0.734
As  0.750  0.750  0.266
O  0.250  0.750  0.500
O  0.750  0.250  0.500

***

Record 3
First-principles (PBE-GGA) data for a relaxed structure of ScReAsO, as listed in OQMD via LeMat-Bulk.

Computed properties:
As for the calculated volume: 15.7 Å³ per atom. The space group is Pmc2_1 (26). The value obtained for the calculated total energy is -65.8 eV per cell.

Cell lengths 4.072, 5.745, 5.380 Å; angles 90.00, 90.00, 90.00 degrees
Fractional positions:
Sc  0.000  0.212  0.000
Sc  0.000  0.788  0.500
Re  0.500  0.499  0.750
Re  0.500  0.501  0.250
As  0.000  0.285  0.500
As  0.000  0.715  0.000
O  0.500  0.207  0.002
O  0.500  0.793  0.502

***

Record 4
First-principles (PBE-GGA) data for a relaxed structure of ScReAsO, as listed in OQMD via LeMat-Bulk.

Computed properties:
As for the calculated volume: 15.2 Å³ per atom. The space group is P4/nmm (129). The value obtained for the calculated total energy is -68.1 eV per cell.

Cell lengths 3.871, 3.871, 8.140 Å; angles 90.00, 90.00, 90.00 degrees
Fractional positions:
Sc  0.250  0.250  0.113
Sc  0.750  0.750  0.887
Re  0.250  0.750  0.500
Re  0.750  0.250  0.500
As  0.250  0.250  0.697
As  0.750  0.750  0.303
O  0.250  0.750  0.000
O  0.750  0.250  0.000

***

Record 5
First-principles (PBE-GGA) data for a relaxed structure of ScReAsO, as listed in OQMD via LeMat-Bulk.

Computed properties:
As for the calculated volume: 14.9 Å³ per atom. The space group is Pmc2_1 (26). The value obtained for the calculated total energy is -65.7 eV per cell.

Cell lengths 4.251, 4.757, 5.894 Å; angles 90.00, 90.00, 90.00 degrees
Fractional positions:
Sc  0.000  0.233  0.000
Sc  0.000  0.767  0.500
Re  0.500  0.392  0.330
Re  0.500  0.608  0.830
As  0.500  0.116  0.688
As  0.500  0.884  0.188
O  0.000  0.402  0.321
O  0.000  0.598  0.821

***

Record 6
First-principles (PBE-GGA) data for a relaxed structure of ReSiAsO, as listed in OQMD via LeMat-Bulk.

Computed properties:
As for the calculated volume: 14.4 Å³ per atom. The space group is Pmc2_1 (26). The value obtained for the calculated total energy is -56.1 eV per cell.

Cell lengths 3.590, 5.875, 5.469 Å; angles 90.00, 90.00, 90.00 degrees
Fractional positions:
Re  0.000  0.069  0.000
Re  0.000  0.931  0.500
Si  0.500  0.262  0.351
Si  0.500  0.738  0.851
As  0.500  0.305  0.798
As  0.500  0.695  0.298
O  0.000  0.266  0.328
O  0.000  0.734  0.828

***

Record 7
First-principles (PBE-GGA) data for a relaxed structure of ReSiAsO, as listed in OQMD via LeMat-Bulk.

Computed properties:
As for the calculated volume: 15.6 Å³ per atom. The space group is P4/nmm (129). The value obtained for the calculated total energy is -57.7 eV per cell.

Cell lengths 3.613, 3.613, 9.577 Å; angles 90.00, 90.00, 90.00 degrees
Fractional positions:
Re  0.250  0.750  0.000
Re  0.750  0.250  0.000
Si  0.250  0.250  0.405
Si  0.750  0.750  0.595
As  0.250  0.250  0.807
As  0.750  0.750  0.193
O  0.250  0.750  0.500
O  0.750  0.250  0.500

***

Record 8
First-principles (PBE-GGA) data for a relaxed structure of ReSiAsO, as listed in OQMD via LeMat-Bulk.

Computed properties:
As for the calculated volume: 14.3 Å³ per atom. The space group is P4/nmm (129). The value obtained for the calculated total energy is -54.1 eV per cell.

Cell lengths 3.310, 3.310, 10.457 Å; angles 90.00, 90.00, 90.00 degrees
Fractional positions:
Re  0.250  0.250  0.127
Re  0.750  0.750  0.873
Si  0.250  0.750  0.500
Si  0.750  0.250  0.500
As  0.250  0.250  0.744
As  0.750  0.750  0.256
O  0.250  0.750  0.000
O  0.750  0.250  0.000

***

Record 9
First-principles (PBE-GGA) data for a relaxed structure of ReSiAsO, as listed in OQMD via LeMat-Bulk.

Computed properties:
As for the calculated volume: 15.8 Å³ per atom. The space group is P4/nmm (129). The value obtained for the calculated total energy is -57.8 eV per cell.

Cell lengths 3.616, 3.616, 9.670 Å; angles 90.00, 90.00, 90.00 degrees
Fractional positions:
Re  0.250  0.750  0.000
Re  0.750  0.250  0.000
Si  0.250  0.250  0.405
Si  0.750  0.750  0.595
As  0.250  0.250  0.809
As  0.750  0.750  0.191
O  0.250  0.750  0.500
O  0.750  0.250  0.500

***

Record 10
First-principles (PBE-GGA) data for a relaxed structure of ReSiAsO, as listed in OQMD via LeMat-Bulk.

Computed properties:
As for the calculated volume: 14.6 Å³ per atom. The space group is Pmc2_1 (26). The value obtained for the calculated total energy is -57.6 eV per cell.

Cell lengths 3.017, 5.697, 6.786 Å; angles 90.00, 90.00, 90.00 degrees
Fractional positions:
Re  0.000  0.231  0.000
Re  0.000  0.769  0.500
Si  0.500  0.083  0.575
Si  0.500  0.917  0.075
As  0.000  0.318  0.358
As  0.000  0.682  0.858
O  0.500  0.248  0.780
O  0.500  0.752  0.280

***

Record 11
First-principles (PBE-GGA) data for a relaxed structure of TbReAsO, as listed in OQMD via LeMat-Bulk.

Computed properties:
As for the calculated volume: 16.8 Å³ per atom. The space group is P4/nmm (129). The value obtained for the calculated total energy is -66.2 eV per cell.

Cell lengths 3.960, 3.960, 8.549 Å; angles 90.00, 90.00, 90.00 degrees
Fractional positions:
Tb  0.250  0.250  0.129
Tb  0.750  0.750  0.871
Re  0.250  0.750  0.500
Re  0.750  0.250  0.500
As  0.250  0.250  0.682
As  0.750  0.750  0.318
O  0.250  0.750  0.000
O  0.750  0.250  0.000

***

Record 12
First-principles (PBE-GGA) data for a relaxed structure of TbReAsO, as listed in OQMD via LeMat-Bulk.

Computed properties:
As for the calculated volume: 16.3 Å³ per atom. The space group is Pmc2_1 (26). The value obtained for the calculated total energy is -62.2 eV per cell.

Cell lengths 4.136, 4.517, 6.996 Å; angles 90.00, 90.00, 90.00 degrees
Fractional positions:
Tb  0.000  0.216  0.000
Tb  0.000  0.784  0.500
Re  0.500  0.316  0.340
Re  0.500  0.684  0.840
As  0.500  0.187  0.685
As  0.500  0.813  0.185
O  0.000  0.316  0.337
O  0.000  0.684  0.837